A plane-wave DFT calculation with GGA-PBE was carried out for a geometry-optimized ScFe2Pt structure.

Symmetry: I-42d, No. 122
DOS(E_F) in states/eV per cell: 6.5
E_form in eV/atom: -0.05
Electronic total energy in eV per atom: -7.375

abc: 3.6912 3.6912 9.8733
angles: 79.23 79.23 90.00
Each line ends with the local moment (μB).
Positions (direct):
1 Fe 0.1017 0.6250 0.2500  2.65
2 Fe 0.6483 0.1250 0.2500  2.65
3 Fe 0.3750 0.3517 0.7500  2.65
4 Fe 0.8750 0.8983 0.7500  2.64
5 Pt 0.7500 0.2500 0.5000  0.11
6 Pt 0.0000 0.0000 0.0000  0.11
7 Sc 0.5000 0.5000 0.0000  -0.19
8 Sc 0.2500 0.7500 0.5000  -0.18

---

A plane-wave DFT calculation with GGA-PBE was carried out for a geometry-optimized SrTmAl2 structure.

Polymorph energy (0 for the lowest one) in eV/atom: 0.000
Symmetry: P4/mmm, No. 123
DOS(E_F) in states/eV per cell: 2.0
E_form in eV/atom: -0.24
Electronic total energy in eV per atom: -3.650

abc: 3.7271 3.7271 7.5267
angles: 90.00 90.00 90.00
Positions (direct):
1 Al 0.0000 0.0000 0.7904
2 Al 0.0000 0.0000 0.2096
3 Tm 0.5000 0.5000 0.0000
4 Sr 0.5000 0.5000 0.5000